## a
Entry from Alexandria: a geometry-optimized Li6Sn2Au structure (PBE).

The structure in POSCAR format:
```
Li6Sn2Au
1.0
4.4755 0.0000 0.0029
0.0000 8.3708 0.0000
-0.0003 0.0000 8.4528
Li Sn Au
12 4 2
Cartesian
0.0000 8.1687 1.5548 Li
0.0008 5.6627 4.6669 Li
0.0007 5.6671 7.4870 Li
2.2365 1.4817 5.1937 Li
2.2364 1.4773 8.0138 Li
2.2376 3.9833 2.6731 Li
4.4751 0.2021 6.9009 Li
4.4744 2.7082 3.7888 Li
4.4745 2.7037 0.9687 Li
2.2387 6.8891 3.2620 Li
2.2388 6.8936 0.4419 Li
2.2376 4.3875 5.7827 Li
4.4743 2.9734 6.6588 Sn
2.2385 7.1588 6.0248 Sn
2.2367 1.2120 2.4309 Sn
0.0009 5.3974 1.7969 Sn
2.2378 4.1854 0.0015 Au
-0.0002 0.0000 4.2264 Au
```

## Properties
symmetry = Pnnm (58)
density of states at the Fermi level = 7.99 states/eV/cell



## b
Entry from Alexandria: a geometry-optimized Li6Sn2Au structure (PBE).

The structure in POSCAR format:
```
Li6Sn2Au
1.0
2.8969 0.0000 0.8651
0.0000 7.7962 0.0000
1.0324 -3.8981 7.3297
Li Sn Au
6 2 1
Cartesian
0.8452 1.2741 2.5510 Li
3.0841 5.1722 5.6438 Li
3.0841 2.6240 5.6438 Li
1.4484 2.5494 0.4325 Li
0.8452 -1.2741 2.5510 Li
1.4484 5.2468 0.4325 Li
2.2775 3.8981 3.0114 Sn
1.6518 0.0000 5.1834 Sn
0.0000 0.0000 0.0000 Au
```

## Properties
symmetry = C2/m (12)
density of states at the Fermi level = 3.81 states/eV/cell



Which structure loses on stability? b does.



## a
Entry from Alexandria: a geometry-optimized LiSn3Au structure (PBE).

The structure in POSCAR format:
```
LiSn3Au
1.0
4.0560 0.5761 0.0000
-0.9040 6.5066 0.0000
0.0000 0.0000 8.8619
Li Sn Au
2 6 2
Cartesian
-0.8858 6.3801 6.6464 Li
4.0378 0.7027 2.2155 Li
-0.6477 4.7191 4.2441 Sn
3.7997 2.3637 4.6177 Sn
-0.6477 4.7191 0.1868 Sn
3.7997 2.3637 8.6751 Sn
1.4185 4.7227 6.6464 Sn
1.7336 2.3600 2.2155 Sn
1.7931 1.9327 6.6464 Au
1.3590 5.1500 2.2155 Au
```

## Properties
symmetry = P2_1/m (11)
density of states at the Fermi level = 6.16 states/eV/cell



## b
Entry from Alexandria: a geometry-optimized LiSn3Au structure (PBE).

The structure in POSCAR format:
```
LiSn3Au
1.0
4.9591 0.0000 0.0000
0.0000 4.9591 0.0000
0.0000 0.0000 4.9591
Au Sn Li
1 3 1
Cartesian
2.4795 2.4795 2.4795 Au
0.0000 2.4795 0.0000 Sn
0.0000 0.0000 2.4795 Sn
2.4795 0.0000 0.0000 Sn
0.0000 0.0000 0.0000 Li
```

## Properties
symmetry = Pm-3m (221)
density of states at the Fermi level = 1.73 states/eV/cell



Which structure loses on stability? b does.



## a
Entry from Alexandria: a geometry-optimized Sr8Li2Au structure (PBE).

The structure in POSCAR format:
```
Sr8Li2Au
1.0
-2.7775 2.4719 -2.6868
-1.3405 -8.2397 -6.1949
-6.7654 -3.3036 7.8707
Sr Li Au
8 2 1
Cartesian
-3.6493 -3.6266 -3.4801 Sr
-7.0411 -9.6682 -1.6160 Sr
-3.8989 -3.6862 0.6392 Sr
-10.4552 -7.3467 0.1332 Sr
-6.9845 -5.3852 -1.6502 Sr
-3.8424 0.5967 0.6050 Sr
-7.2341 -5.4448 2.4692 Sr
-0.4282 -1.7248 -1.1441 Sr
-3.9258 -6.9331 -2.3202 Li
-6.9577 -2.1383 1.3093 Li
-1.3888 1.2359 -1.3434 Au
```

## Properties
symmetry = C2/m (12)
density of states at the Fermi level = 11.88 states/eV/cell



## b
Entry from Alexandria: a geometry-optimized Sr8Li2Au structure (PBE).

The structure in POSCAR format:
```
Sr8Li2Au
1.0
6.0991 0.0000 0.0000
0.0000 7.8898 0.0809
-3.0495 -3.2857 9.8337
Sr Li Au
8 2 1
Cartesian
0.0000 1.8929 8.1233 Sr
3.0495 6.6169 3.0003 Sr
3.0495 3.5569 5.8315 Sr
3.0495 -1.4743 9.4178 Sr
0.0000 1.0472 4.0832 Sr
0.0000 -2.0129 6.9144 Sr
3.0495 2.7112 1.7914 Sr
0.0000 6.0784 0.4969 Sr
3.0495 0.0962 6.2629 Li
0.0000 4.5079 3.6518 Li
3.0495 0.0000 0.0000 Au
```

## Properties
symmetry = C2/m (12)
density of states at the Fermi level = 12.14 states/eV/cell



Which structure loses on stability? b does.